(1)
This record from Alexandria via LeMat-Bulk describes crystalline Sc3Tl2Zn2 at its relaxed geometry. The functional is PBE.

a = 4.3468 Å, b = 20.6405 Å, c = 3.2518 Å
α = 90.00°, β = 90.00°, γ = 90.00°
Space group Cmmm (No. 65)
Asymmetric unit:
Sc1 0.0000 0.0000 0.0000
Sc2 0.0000 0.1627 0.0000
Tl1 0.0000 0.4181 0.5000
Zn1 0.0000 0.2801 0.5000

Values from the calculation:
ΔE_f = -0.29 eV/atom
E_tot = -56.59 eV per cell



(2)
This record from Alexandria via LeMat-Bulk describes crystalline Sn7Ru3 at its relaxed geometry. The functional is PBE.

a = 9.4628 Å, b = 9.4628 Å, c = 9.4628 Å
α = 90.00°, β = 90.00°, γ = 90.00°
Space group Im-3m (No. 229)
Asymmetric unit:
Sn1 0.0000 0.2500 0.5000
Sn2 0.1608 0.1608 0.1608
Ru1 0.0000 0.0000 0.3447

Values from the calculation:
ΔE_f = -0.21 eV/atom
E_tot = -231.85 eV per cell



(3)
This record from Alexandria via LeMat-Bulk describes crystalline CoRe2Te at its relaxed geometry. The functional is PBE.

a = 2.9616 Å, b = 2.9616 Å, c = 24.9957 Å
α = 90.00°, β = 90.00°, γ = 120.00°
Space group R-3m (No. 166, hexagonal axes)
Asymmetric unit:
Co1 0.0000 0.0000 0.0000
Re1 0.0000 0.0000 0.2554
Te1 0.0000 0.0000 0.5000

Values from the calculation:
Formation energy (no corrections) = 804 meV per atom
E_tot = -95.78 eV per cell



(4)
This record from Alexandria via LeMat-Bulk describes crystalline SrLa at its relaxed geometry. The functional is PBE.

a = 3.9480 Å, b = 3.9480 Å, c = 39.5611 Å
α = 90.00°, β = 90.00°, γ = 120.00°
Space group R-3m (No. 166, hexagonal axes)
Asymmetric unit:
Sr1 0.0000 0.0000 0.1211
La1 0.0000 0.0000 0.3692

Values from the calculation:
ΔE_f = 0.08 eV/atom
Excess energy over the best structure of this formula in the dataset = 15 meV/atom
E_tot = -38.74 eV per cell



(5)
This record from Alexandria via LeMat-Bulk describes crystalline Tm3Hf at its relaxed geometry. The functional is PBE.

a = 3.4368 Å, b = 5.3671 Å, c = 6.0155 Å
α = 90.00°, β = 90.00°, γ = 90.00°
Space group Pmm2 (No. 25)
Asymmetric unit:
Tm1 0.0000 0.0000 0.0000
Tm2 0.0000 0.5000 0.3364
Tm3 0.5000 0.5000 0.8171
Hf1 0.5000 0.0000 0.4977

Values from the calculation:
ΔE_f = 0.08 eV/atom
Excess energy over the best structure of this formula in the dataset = 0 meV/atom
E_tot = -23.05 eV per cell



(6)
This record from Alexandria via LeMat-Bulk describes crystalline Cu3MoRh at its relaxed geometry. The functional is PBE.

a = 4.5586 Å, b = 4.5586 Å, c = 4.5586 Å
α = 90.00°, β = 90.00°, γ = 90.00°
Space group Pm-3m (No. 221)
Asymmetric unit:
Cu1 0.0000 0.0000 0.5000
Mo1 0.5000 0.5000 0.5000
Rh1 0.0000 0.0000 0.0000

Values from the calculation:
ΔE_f = 1.44 eV/atom
Excess energy over the best structure of this formula in the dataset = 0 meV/atom
E_tot = -23.29 eV per cell



Which of these has the highest E_tot? Tm3Hf



What did the fourth record say?
This record from Alexandria via LeMat-Bulk describes crystalline SrLa at its relaxed geometry. The functional is PBE.

a = 3.9480 Å, b = 3.9480 Å, c = 39.5611 Å
α = 90.00°, β = 90.00°, γ = 120.00°
Space group R-3m (No. 166, hexagonal axes)
Asymmetric unit:
Sr1 0.0000 0.0000 0.1211
La1 0.0000 0.0000 0.3692

Values from the calculation:
ΔE_f = 0.08 eV/atom
Excess energy over the best structure of this formula in the dataset = 15 meV/atom
E_tot = -38.74 eV per cell



Among the records above, which one has the highest E_tot? Tm3Hf